[1]
Density functional theory data (PBE) for a geometry-optimized GePdW3 structure.

## Properties
- Formation energy: 166.31 kJ/mol of atoms
- Offset from the most stable computed form: 0 meV per atom
- DFT total energy: -8.01 eV/atom
- Space group: Pm-3m, No. 221
- Density: 12.72 g cm⁻³

```
data_GePdW3
_cell_length_a 4.5688
_cell_length_b 4.5688
_cell_length_c 4.5688
_cell_angle_alpha 90.00
_cell_angle_beta 90.00
_cell_angle_gamma 90.00
_space_group_name_H-M_alt 'P 1'
_space_group_IT_number 1
loop_
_space_group_symop_operation_xyz
'x,y,z'
loop_
_atom_site_label
_atom_site_type_symbol
_atom_site_fract_x
_atom_site_fract_y
_atom_site_fract_z
Ge1 Ge 0.0000 0.0000 0.0000
Pd1 Pd 0.5000 0.5000 0.5000
W1 W 0.0000 0.5000 0.0000
W2 W 0.0000 0.0000 0.5000
W3 W 0.5000 0.0000 0.0000
```



[2]
Density functional theory data (PBE) for a geometry-optimized Ge2PdW2 structure.

## Properties
- Formation energy: 27.34 kJ/mol of atoms
- Offset from the most stable computed form: 0 meV per atom
- DFT total energy: -7.78 eV/atom
- Space group: P4/mbm, No. 127
- Density: 12.65 g cm⁻³

```
data_Ge2PdW2
_cell_length_a 7.2310
_cell_length_b 7.2310
_cell_length_c 3.1091
_cell_angle_alpha 90.00
_cell_angle_beta 90.00
_cell_angle_gamma 90.00
_space_group_name_H-M_alt 'P 1'
_space_group_IT_number 1
loop_
_space_group_symop_operation_xyz
'x,y,z'
loop_
_atom_site_label
_atom_site_type_symbol
_atom_site_fract_x
_atom_site_fract_y
_atom_site_fract_z
Ge1 Ge 0.3348 0.8348 0.0000
Ge2 Ge 0.8348 0.6652 0.0000
Ge3 Ge 0.6652 0.1652 0.0000
Ge4 Ge 0.1652 0.3348 0.0000
Pd1 Pd 0.0000 0.0000 0.0000
Pd2 Pd 0.5000 0.5000 0.0000
W1 W 0.1273 0.6273 0.5000
W2 W 0.6273 0.8727 0.5000
W3 W 0.8727 0.3727 0.5000
W4 W 0.3727 0.1273 0.5000
```